(1)
Tm3Tl3Cd, relaxed, DFT PBE-GGA; distance to the lowest polymorph of the same formula = 70 meV/atom
1.0
8.9460 0.0000 0.0000
-4.4730 7.7474 0.0000
0.0000 0.0000 5.4079
Tm Tl Cd
6 6 2
Cartesian
-1.9822 5.0032 1.3520
1.1312 3.5292 1.3520
3.6220 0.7850 4.0560
0.8510 6.9625 1.3520
3.3418 4.2182 4.0560
6.4552 2.7443 4.0560
-3.1123 6.2083 4.0560
0.6526 1.9479 4.0560
2.0133 0.4088 1.3520
2.4597 7.3386 4.0560
3.8204 5.7995 1.3520
7.5853 1.5391 1.3520
0.0000 5.1650 4.0560
4.4730 2.5825 1.3520

(2)
Tb4Zn5Sn6, relaxed, DFT PBE-GGA; uncorrected energy = -3.70 eV/atom
1.0
2.2781 -9.6853 0.0000
2.2781 9.6853 0.0000
0.0000 0.0000 16.3606
Tb Zn Sn
8 10 12
Cartesian
2.2781 9.1329 8.1803
2.2781 9.1012 12.5616
2.2781 6.3713 4.9547
2.2781 6.2984 15.5238
2.2781 -6.2984 7.3435
2.2781 -6.3713 13.1349
2.2781 -9.1012 4.3813
2.2781 -9.1329 0.0000
2.2781 6.8819 10.3291
2.2781 3.8205 10.2901
2.2781 2.9318 16.3058
2.2781 2.8872 4.6248
2.2781 1.4358 11.4766
2.2781 -1.4358 3.2963
2.2781 -2.8872 12.8050
2.2781 -2.9318 8.1255
2.2781 -3.8205 2.1098
2.2781 -6.8819 2.1488
2.2781 7.6342 1.9560
2.2781 5.3767 8.0431
2.2781 5.3660 12.5482
2.2781 1.3440 6.8871
2.2781 1.3373 14.1185
2.2781 1.1478 2.2241
2.2781 -1.1478 10.4044
2.2781 -1.3373 5.9382
2.2781 -1.3440 15.0674
2.2781 -5.3660 4.3679
2.2781 -5.3767 16.2234
2.2781 -7.6342 10.1363

(3)
BAsH2, relaxed, DFT PBE-GGA; distance to the lowest polymorph of the same formula = 933 meV/atom
1.0
-1.6780 1.6780 5.5111
1.6780 -1.6780 5.5111
1.6780 1.6780 -5.5111
B As H
2 2 4
Cartesian
1.6780 0.8390 1.3778
0.0000 0.8390 4.1334
1.6780 -0.8390 4.1334
0.0000 2.5170 1.3778
1.6780 0.0000 0.0000
-0.8390 0.8390 2.7556
0.0000 0.0000 5.5111
0.8390 0.8390 2.7556